Record 1
Here is an optimized crystal structure of ScTi4Ga6 from Alexandria. Energies are from PBE-GGA.

Structure (CIF):
```
data_ScTi4Ga6
_chemical_formula_sum 'Sc2 Ti8 Ga12'
_cell_length_a 6.639
_cell_length_b 6.639
_cell_length_c 9.923
_cell_angle_alpha 90.00
_cell_angle_beta 90.00
_cell_angle_gamma 90.00
_symmetry_space_group_name_H-M 'I -4 2 m'
_symmetry_Int_Tables_number 121
_symmetry_space_group_name_Hall 'I -4 2'
loop_
_atom_site_label
_atom_site_type_symbol
_atom_site_fract_x
_atom_site_fract_y
_atom_site_fract_z
Sc1 Sc 0.000 0.000 0.000
Ti1 Ti 0.142 0.142 0.389
Ga1 Ga 0.000 0.500 0.000
Ga2 Ga 0.245 0.245 0.647
```

Output
ΔH_f (0 K): -31 meV/atom
size of the total moment: 0.0000 μB per atom
calculated volume: 19.88 Å³/atom



Record 2
Here is an optimized crystal structure of ScTi5Ga8 from Alexandria. Energies are from PBE-GGA.

Structure (CIF):
```
data_ScTi5Ga8
_chemical_formula_sum 'Sc2 Ti10 Ga16'
_cell_length_a 7.669
_cell_length_b 7.669
_cell_length_c 8.187
_cell_angle_alpha 90.00
_cell_angle_beta 90.00
_cell_angle_gamma 90.00
_symmetry_space_group_name_H-M 'I -4'
_symmetry_Int_Tables_number 82
loop_
_symmetry_equiv_pos_as_xyz
'x,y,z'
'y,-x,-z'
'-x,-y,z'
'-y,x,-z'
'x+1/2,y+1/2,z+1/2'
'y+1/2,-x+1/2,-z+1/2'
'-x+1/2,-y+1/2,z+1/2'
'-y+1/2,x+1/2,-z+1/2'
loop_
_atom_site_label
_atom_site_type_symbol
_atom_site_fract_x
_atom_site_fract_y
_atom_site_fract_z
Sc1 Sc 0.000 0.000 0.000
Ti1 Ti 0.000 0.500 0.750
Ti2 Ti 0.124 0.310 0.336
Ga1 Ga 0.065 0.159 0.670
Ga2 Ga 0.122 0.332 0.012
```

Output
ΔH_f (0 K): -322 meV/atom
size of the total moment: 0.0000 μB per atom
calculated volume: 17.20 Å³/atom



Record 3
Here is an optimized crystal structure of ScTiGa4 from Alexandria. Energies are from PBE-GGA.

Structure (CIF):
```
data_ScTiGa4
_chemical_formula_sum 'Sc4 Ti4 Ga16'
_cell_length_a 7.371
_cell_length_b 7.371
_cell_length_c 7.371
_cell_angle_alpha 90.00
_cell_angle_beta 90.00
_cell_angle_gamma 90.00
_symmetry_space_group_name_H-M 'F -4 3 m'
_symmetry_Int_Tables_number 216
_symmetry_space_group_name_Hall 'F -4 2 3'
loop_
_atom_site_label
_atom_site_type_symbol
_atom_site_fract_x
_atom_site_fract_y
_atom_site_fract_z
Sc1 Sc 0.000 0.000 0.000
Ti1 Ti 0.250 0.250 0.750
Ga1 Ga 0.125 0.125 0.375
```

Output
ΔH_f (0 K): -373 meV/atom
size of the total moment: 0.0013 μB per atom
calculated volume: 16.69 Å³/atom
ΔE to the lowest computed polymorph: 0 meV per atom



Record 4
Here is an optimized crystal structure of Sc3TiGa from Alexandria. Energies are from PBE-GGA.

Structure (CIF):
```
data_Sc3TiGa
_chemical_formula_sum 'Sc3 Ti1 Ga1'
_cell_length_a 5.081
_cell_length_b 5.081
_cell_length_c 5.081
_cell_angle_alpha 90.00
_cell_angle_beta 90.00
_cell_angle_gamma 90.00
_symmetry_space_group_name_H-M 'P m -3 m'
_symmetry_Int_Tables_number 221
_symmetry_space_group_name_Hall '-P 4 2 3'
loop_
_atom_site_label
_atom_site_type_symbol
_atom_site_fract_x
_atom_site_fract_y
_atom_site_fract_z
Sc1 Sc 0.000 0.000 0.500
Ti1 Ti 0.500 0.500 0.500
Ga1 Ga 0.000 0.000 0.000
```

Output
ΔH_f (0 K): 428 meV/atom
size of the total moment: 0.9041 μB per atom
calculated volume: 26.23 Å³/atom
ΔE to the lowest computed polymorph: 0 meV per atom



Record 5
Here is an optimized crystal structure of Sc2TiGa from Alexandria. Energies are from PBE-GGA.

Structure (CIF):
```
data_Sc2TiGa
_chemical_formula_sum 'Sc2 Ti1 Ga1'
_cell_length_a 4.311
_cell_length_b 4.311
_cell_length_c 4.205
_cell_angle_alpha 90.00
_cell_angle_beta 90.00
_cell_angle_gamma 90.00
_symmetry_space_group_name_H-M 'P 4/m m m'
_symmetry_Int_Tables_number 123
_symmetry_space_group_name_Hall '-P 4 2'
loop_
_atom_site_label
_atom_site_type_symbol
_atom_site_fract_x
_atom_site_fract_y
_atom_site_fract_z
Sc1 Sc 0.000 0.500 0.000
Ti1 Ti 0.000 0.000 0.500
Ga1 Ga 0.500 0.500 0.500
```

Output
ΔH_f (0 K): -260 meV/atom
size of the total moment: 0.5135 μB per atom
calculated volume: 19.54 Å³/atom



Record 6
Here is an optimized crystal structure of ScTi3Ga from Alexandria. Energies are from PBE-GGA.

Structure (CIF):
```
data_ScTi3Ga
_chemical_formula_sum 'Sc1 Ti3 Ga1'
_cell_length_a 4.662
_cell_length_b 4.662
_cell_length_c 4.662
_cell_angle_alpha 90.00
_cell_angle_beta 90.00
_cell_angle_gamma 90.00
_symmetry_space_group_name_H-M 'P m -3 m'
_symmetry_Int_Tables_number 221
_symmetry_space_group_name_Hall '-P 4 2 3'
loop_
_atom_site_label
_atom_site_type_symbol
_atom_site_fract_x
_atom_site_fract_y
_atom_site_fract_z
Sc1 Sc 0.000 0.000 0.000
Ti1 Ti 0.000 0.000 0.500
Ga1 Ga 0.500 0.500 0.500
```

Output
ΔH_f (0 K): 1137 meV/atom
size of the total moment: 0.3431 μB per atom
calculated volume: 20.27 Å³/atom
ΔE to the lowest computed polymorph: 628 meV per atom



Record 7
Here is an optimized crystal structure of ScTiGa2 from Alexandria. Energies are from PBE-GGA.

Structure (CIF):
```
data_ScTiGa2
_chemical_formula_sum 'Sc4 Ti4 Ga8'
_cell_length_a 6.529
_cell_length_b 6.529
_cell_length_c 6.529
_cell_angle_alpha 90.00
_cell_angle_beta 90.00
_cell_angle_gamma 90.00
_symmetry_space_group_name_H-M 'F m -3 m'
_symmetry_Int_Tables_number 225
_symmetry_space_group_name_Hall '-F 4 2 3'
loop_
_atom_site_label
_atom_site_type_symbol
_atom_site_fract_x
_atom_site_fract_y
_atom_site_fract_z
Sc1 Sc 0.000 0.000 0.000
Ti1 Ti 0.000 0.000 0.500
Ga1 Ga 0.250 0.250 0.250
```

Output
ΔH_f (0 K): -419 meV/atom
size of the total moment: 0.2311 μB per atom
calculated volume: 17.40 Å³/atom
ΔE to the lowest computed polymorph: 78 meV per atom



Record 8
Here is an optimized crystal structure of ScTi2Ga4 from Alexandria. Energies are from PBE-GGA.

Structure (CIF):
```
data_ScTi2Ga4
_chemical_formula_sum 'Sc2 Ti4 Ga8'
_cell_length_a 6.627
_cell_length_b 6.627
_cell_length_c 5.435
_cell_angle_alpha 90.00
_cell_angle_beta 90.00
_cell_angle_gamma 90.00
_symmetry_space_group_name_H-M 'I 4/m m m'
_symmetry_Int_Tables_number 139
_symmetry_space_group_name_Hall '-I 4 2'
loop_
_atom_site_label
_atom_site_type_symbol
_atom_site_fract_x
_atom_site_fract_y
_atom_site_fract_z
Sc1 Sc 0.000 0.000 0.000
Ti1 Ti 0.000 0.500 0.250
Ga1 Ga 0.200 0.200 0.500
```

Output
ΔH_f (0 K): -518 meV/atom
size of the total moment: 0.0000 μB per atom
calculated volume: 17.05 Å³/atom
ΔE to the lowest computed polymorph: 0 meV per atom



Record 9
Here is an optimized crystal structure of Sc2TiGa3 from Alexandria. Energies are from PBE-GGA.

Structure (CIF):
```
data_Sc2TiGa3
_chemical_formula_sum 'Sc2 Ti1 Ga3'
_cell_length_a 3.376
_cell_length_b 3.376
_cell_length_c 9.439
_cell_angle_alpha 90.00
_cell_angle_beta 90.00
_cell_angle_gamma 90.00
_symmetry_space_group_name_H-M 'P 4/m m m'
_symmetry_Int_Tables_number 123
_symmetry_space_group_name_Hall '-P 4 2'
loop_
_atom_site_label
_atom_site_type_symbol
_atom_site_fract_x
_atom_site_fract_y
_atom_site_fract_z
Sc1 Sc 0.000 0.000 0.175
Ti1 Ti 0.000 0.000 0.500
Ga1 Ga 0.500 0.500 0.000
Ga2 Ga 0.500 0.500 0.352
```

Output
ΔH_f (0 K): -502 meV/atom
size of the total moment: 0.1315 μB per atom
calculated volume: 17.93 Å³/atom
ΔE to the lowest computed polymorph: 2 meV per atom



Record 10
Here is an optimized crystal structure of Sc2TiGa from Alexandria. Energies are from PBE-GGA.

Structure (CIF):
```
data_Sc2TiGa
_chemical_formula_sum 'Sc6 Ti3 Ga3'
_cell_length_a 3.1215
_cell_length_b 3.1215
_cell_length_c 31.3412
_cell_angle_alpha 90.00
_cell_angle_beta 90.00
_cell_angle_gamma 120.00
_symmetry_space_group_name_H-M 'R -3 m'
_symmetry_Int_Tables_number 166
_symmetry_space_group_name_Hall '-R 3 2"'
loop_
_atom_site_label
_atom_site_type_symbol
_atom_site_fract_x
_atom_site_fract_y
_atom_site_fract_z
Sc1 Sc 0.0000 0.0000 0.0908
Ti1 Ti 0.0000 0.0000 0.5000
Ga1 Ga 0.0000 0.0000 0.0000
```

Output
ΔH_f (0 K): 139 meV/atom
size of the total moment: 0.0000 μB per atom
calculated volume: 22.04 Å³/atom



Record 11
Here is an optimized crystal structure of Sc2TiGa3 from Alexandria. Energies are from PBE-GGA.

Structure (CIF):
```
data_Sc2TiGa3
_chemical_formula_sum 'Sc4 Ti2 Ga6'
_cell_length_a 4.298
_cell_length_b 12.823
_cell_length_c 3.869
_cell_angle_alpha 90.00
_cell_angle_beta 90.00
_cell_angle_gamma 90.00
_symmetry_space_group_name_H-M 'C m m m'
_symmetry_Int_Tables_number 65
_symmetry_space_group_name_Hall '-C 2 2'
loop_
_atom_site_label
_atom_site_type_symbol
_atom_site_fract_x
_atom_site_fract_y
_atom_site_fract_z
Sc1 Sc 0.000 0.166 0.000
Ti1 Ti 0.000 0.500 0.000
Ga1 Ga 0.000 0.000 0.500
Ga2 Ga 0.000 0.340 0.500
```

Output
ΔH_f (0 K): -504 meV/atom
size of the total moment: 0.0021 μB per atom
calculated volume: 17.77 Å³/atom
ΔE to the lowest computed polymorph: 0 meV per atom



Record 12
Here is an optimized crystal structure of Sc3Ti4Ga4 from Alexandria. Energies are from PBE-GGA.

Structure (CIF):
```
data_Sc3Ti4Ga4
_chemical_formula_sum 'Sc6 Ti8 Ga8'
_cell_length_a 4.492
_cell_length_b 6.136
_cell_length_c 14.861
_cell_angle_alpha 90.00
_cell_angle_beta 90.00
_cell_angle_gamma 90.00
_symmetry_space_group_name_H-M 'I m m m'
_symmetry_Int_Tables_number 71
_symmetry_space_group_name_Hall '-I 2 2'
loop_
_atom_site_label
_atom_site_type_symbol
_atom_site_fract_x
_atom_site_fract_y
_atom_site_fract_z
Sc1 Sc 0.000 0.000 0.000
Sc2 Sc 0.000 0.500 0.112
Ti1 Ti 0.000 0.280 0.323
Ga1 Ga 0.000 0.000 0.183
Ga2 Ga 0.000 0.212 0.500
```

Output
ΔH_f (0 K): -296 meV/atom
size of the total moment: 0.0201 μB per atom
calculated volume: 18.62 Å³/atom



Record 13
Here is an optimized crystal structure of Sc2Ti2Ga from Alexandria. Energies are from PBE-GGA.

Structure (CIF):
```
data_Sc2Ti2Ga
_chemical_formula_sum 'Sc4 Ti4 Ga2'
_cell_length_a 6.912
_cell_length_b 6.912
_cell_length_c 4.188
_cell_angle_alpha 90.00
_cell_angle_beta 90.00
_cell_angle_gamma 90.00
_symmetry_space_group_name_H-M 'P 4/m b m'
_symmetry_Int_Tables_number 127
_symmetry_space_group_name_Hall '-P 4 2ab'
loop_
_atom_site_label
_atom_site_type_symbol
_atom_site_fract_x
_atom_site_fract_y
_atom_site_fract_z
Sc1 Sc 0.158 0.342 0.000
Ti1 Ti 0.139 0.639 0.500
Ga1 Ga 0.000 0.000 0.500
```

Output
ΔH_f (0 K): -71 meV/atom
size of the total moment: 0.0000 μB per atom
calculated volume: 20.01 Å³/atom